Entry 1:
An optimized crystal structure of Li2TePt. Source: the Alexandria database, functional PBE.

a b c (Å): 7.633 7.633 6.015
angles (deg): 50.62 50.62 90.00
Positions (direct):
Li (0.655, 0.125, 0.250)
Li (0.375, 0.345, 0.750)
Li (0.095, 0.625, 0.250)
Li (0.875, 0.905, 0.750)
Te (0.500, 0.500, 0.000)
Te (0.250, 0.750, 0.500)
Pt (0.750, 0.250, 0.500)
Pt (0.000, 0.000, 0.000)

Its space group is I-42d. The total DFT energy (no corrections) is -3.654 eV per atom.

---

Entry 2:
An optimized crystal structure of Li2TePt. Source: the Alexandria database, functional PBE.

a b c (Å): 4.866 4.866 3.042
angles (deg): 90.00 90.00 109.51
Positions (direct):
Te (0.000, 0.500, 0.500)
Pt (0.500, 0.000, 0.500)
Li (0.500, 0.500, 0.000)
Li (0.000, 0.000, 0.000)

Its space group is Cmmm. The total DFT energy (no corrections) is -3.787 eV per atom.

---

Entry 3:
An optimized crystal structure of Li2TePt. Source: the Alexandria database, functional PBE.

a b c (Å): 8.755 8.755 8.755
angles (deg): 20.42 20.42 20.42
Positions (direct):
Te (0.750, 0.750, 0.750)
Li (0.991, 0.991, 0.991)
Li (0.509, 0.509, 0.509)
Pt (0.250, 0.250, 0.250)

Its space group is R-3m. The total DFT energy (no corrections) is -3.609 eV per atom.